Material: Nb2AgOs2
Method: DFT, PBE
State: optimized geometry

calculated volume	17.629	A^3/atom
energy relative to the elements	0.189	eV/atom
ΔE to the lowest computed polymorph	0	meV per atom
size of the total moment	0.00	μB/f.u.
theoretical density	12.700	g/cm3

Cell lengths 7.7145, 7.7145, 2.9621 Å; angles 90.00, 90.00, 90.00 degrees
Positions (direct):
Nb (0.1474, 0.3526, 0.0000)
Nb (0.3526, 0.8526, 0.0000)
Nb (0.6474, 0.1474, 0.0000)
Nb (0.8526, 0.6474, 0.0000)
Ag (0.0000, 0.0000, 0.0000)
Ag (0.5000, 0.5000, 0.0000)
Os (0.1464, 0.6464, 0.5000)
Os (0.3536, 0.1464, 0.5000)
Os (0.6464, 0.8536, 0.5000)
Os (0.8536, 0.3536, 0.5000)